A relaxed structure of In2HgPb, computed with PBE.

abc: 3.3411 3.3411 10.7146
angles: 90.00 90.00 110.00
Last column: nearest neighbours and their distance in Å.
Element x y z (fractional)
Pb  0.0000  0.0000  0.5040  2 Hg 3.34, 4 Pb 3.34, 2 In 3.40
In  0.0000  0.0000  0.9951  2 Hg 3.17, 6 In 3.27-3.34
In  0.5000  0.5000  0.2419  6 In 3.27-3.34, 2 Pb 3.40
Hg  0.5000  0.5000  0.7590  2 In 3.17, 2 Pb 3.34, 4 Hg 3.34

Computed properties:
* total DFT energy (no corrections): -9.342 eV per cell
* E_form: 36 meV/atom

A relaxed structure of In3Hg4Pb4, computed with PBE.

abc: 3.6246 7.4741 15.2030
angles: 50.39 95.87 89.34
Last column: nearest neighbours and their distance in Å.
Element x y z (fractional)
Pb  0.4463  0.4690  0.8984  3 Hg 3.32-3.67, 3 In 3.32-3.34, 5 Pb 3.39-3.62
Pb  0.8112  0.8236  0.6384  4 Hg 3.27-3.32, 2 In 3.40-3.43, 4 Pb 3.49-3.62
Pb  0.5537  0.5311  0.1016  3 Hg 3.32-3.67, 3 In 3.32-3.34, 5 Pb 3.39-3.62
Pb  0.1887  0.1764  0.3616  4 Hg 3.27-3.32, 2 In 3.40-3.43, 4 Pb 3.49-3.62
Hg  0.9034  0.9197  0.8230  3 In 3.10-3.12, 3 Pb 3.30-3.32
Hg  0.0965  0.0804  0.1770  3 In 3.10-3.12, 3 Pb 3.30-3.32
Hg  0.2667  0.2895  0.5377  1 In 3.06, 2 Hg 3.12-3.16, 3 Pb 3.27-3.32
Hg  0.7333  0.7105  0.4623  1 In 3.06, 2 Hg 3.12-3.16, 3 Pb 3.27-3.32
In  0.6502  0.6472  0.2813  3 Hg 3.06-3.12, 3 Pb 3.34-3.43
In  0.0000  0.0000  0.0000  2 Hg 3.10, 4 Pb 3.32
In  0.3498  0.3529  0.7187  3 Hg 3.06-3.12, 3 Pb 3.34-3.43

Computed properties:
* excess energy over the best structure of this formula in the dataset: 0.00 eV/f.u.
* total DFT energy (no corrections): -24.012 eV per cell
* E_form: 22 meV/atom

A relaxed structure of In5Hg5Pb, computed with PBE.

abc: 5.9259 6.2610 15.1514
angles: 133.57 112.79 98.14
Last column: nearest neighbours and their distance in Å.
Element x y z (fractional)
In  0.6756  0.4119  0.1431  3 Hg 3.13-3.29, 5 In 3.25-3.47, 1 Pb 3.48
In  0.5499  0.2133  0.8529  5 Hg 3.12-3.45, 3 In 3.33-3.49, 2 Pb 3.42-3.46
In  0.1972  0.5032  0.7557  5 Hg 3.18-3.39, 5 In 3.35-3.56, 1 Pb 3.40
In  0.9494  0.9876  0.9576  3 Hg 3.18-3.25, 6 In 3.25-3.56, 1 Pb 3.47
In  0.4108  0.9092  0.3403  6 Hg 3.11-3.40, 2 In 3.29-3.39, 1 Pb 3.38
Hg  0.7671  0.6201  0.4166  3 In 3.13-3.34, 4 Hg 3.14-3.30, 1 Pb 3.37
Hg  0.0390  0.1377  0.2209  3 Hg 3.12-3.48, 4 In 3.18-3.40, 2 Pb 3.31-3.42
Hg  0.5012  0.0892  0.6064  5 In 3.11-3.39, 3 Hg 3.29-3.48
Hg  0.0978  0.3103  0.4807  3 Hg 3.12-3.29, 5 In 3.18-3.36
Hg  0.8346  0.7891  0.6786  3 Hg 3.14-3.29, 5 In 3.18-3.45, 1 Pb 3.30
Pb  0.3108  0.6951  0.0471  4 Hg 3.30-3.42, 8 In 3.38-3.58

Computed properties:
* total DFT energy (no corrections): -18.722 eV per cell
* E_form: 17 meV/atom

Table of spin magnetization (μB per cell), in record order: 0.0 0.0 0.0